No. 1
A relaxed structure of ZrSc2Sb. Source: the Alexandria database, functional GGA-PBE.

```
ZrSc2Sb
1.0
-2.162 2.162 4.816
2.162 -2.162 4.816
2.162 2.162 -4.816
Zr Sc Sb
1 2 1
direct
0.000 0.000 0.000 Zr
0.250 0.750 0.500 Sc
0.750 0.250 0.500 Sc
0.500 0.500 0.000 Sb
```

Its space-group type is No. 139. The calculated density is 5.584 Mg/m³. The total magnetic moment is 0.000 Bohr magnetons per cell. The uncorrected formation energy is -0.43 eV per atom.



No. 2
A relaxed structure of Hf2SbPd2. Source: the Alexandria database, functional GGA-PBE.

```
Hf2SbPd2
1.0
7.815 0.000 0.000
0.000 7.815 0.000
0.000 0.000 3.319
Hf Sb Pd
4 2 4
direct
0.160 0.340 0.000 Hf
0.340 0.840 0.000 Hf
0.660 0.160 0.000 Hf
0.840 0.660 0.000 Hf
0.000 0.000 0.000 Sb
0.500 0.500 0.000 Sb
0.129 0.629 0.500 Pd
0.371 0.129 0.500 Pd
0.629 0.871 0.500 Pd
0.871 0.371 0.500 Pd
```

Its space-group type is No. 127. The calculated density is 11.332 Mg/m³. The total magnetic moment is 0.000 Bohr magnetons per cell. The offset from the most stable computed form is 0.158 eV per atom. The uncorrected formation energy is -0.46 eV per atom.



No. 3
A relaxed structure of CuHg2I. Source: the Alexandria database, functional GGA-PBE.

```
CuHg2I
1.0
-3.718 3.718 4.686
3.718 -3.718 4.686
3.718 3.718 -4.686
Cu Hg I
2 4 2
direct
0.000 0.000 0.000 Cu
0.750 0.250 0.500 Cu
0.060 0.625 0.935 Hg
0.375 0.310 0.435 Hg
0.690 0.125 0.065 Hg
0.875 0.940 0.565 Hg
0.250 0.750 0.500 I
0.500 0.500 0.000 I
```

Its space-group type is No. 122. The calculated density is 7.584 Mg/m³. The total magnetic moment is 0.000 Bohr magnetons per cell. The offset from the most stable computed form is 0.000 eV per atom. The uncorrected formation energy is 0.14 eV per atom.



No. 4
A relaxed structure of AlVS2Cl. Source: the Alexandria database, functional GGA-PBE.

```
AlVS2Cl
1.0
4.604 0.000 0.000
0.000 4.604 0.000
0.000 0.000 4.923
Al V S Cl
1 1 2 1
direct
0.000 0.000 0.000 Al
0.500 0.500 0.500 V
0.000 0.500 0.500 S
0.500 0.000 0.500 S
0.500 0.500 0.000 Cl
```

Its space-group type is No. 123. The calculated density is 2.824 Mg/m³. The total magnetic moment is 1.006 Bohr magnetons per cell. The offset from the most stable computed form is 0.000 eV per atom. The uncorrected formation energy is -0.32 eV per atom.